[1]
The following is a SCAN calculation of a PBEsol-optimized structure of Ga2Ni5Te4, from Alexandria.

Values from the calculation:
DFT total energy	-24.131	eV/atom
raw formation energy	-0.26	eV/atom
V	17.241	Å³ per atom

Unit cell a=3.804 b=3.804 c=15.133 alpha=90.00 beta=90.00 gamma=120.00
Fractional coordinates of all 11 atoms:
Ga 0.333 0.667 0.244
Ga 0.667 0.333 0.756
Ni 0.000 0.000 0.168
Ni 0.000 0.000 0.328
Ni 0.000 0.000 0.500
Ni 0.000 0.000 0.672
Ni 0.000 0.000 0.832
Te 0.333 0.667 0.592
Te 0.333 0.667 0.912
Te 0.667 0.333 0.088
Te 0.667 0.333 0.408


[2]
The following is a SCAN calculation of a PBEsol-optimized structure of Y5Mo, from Alexandria.

Values from the calculation:
DFT total energy	-28.692	eV/atom
V	26.423	Å³ per atom
calculated formation energy	0.32	eV per atom

Unit cell a=6.252 b=6.252 c=6.252 alpha=56.43 beta=56.43 gamma=56.43
Fractional coordinates of all 6 atoms:
Y 0.000 0.628 0.372
Y 0.156 0.156 0.156
Y 0.372 0.000 0.628
Y 0.628 0.372 0.000
Y 0.844 0.844 0.844
Mo 0.500 0.500 0.500


Look up the DFT total energy of the second one. -28.692 eV/atom


Which formula does entry 1 have? Ga2Ni5Te4